[1]
Y2AsHPd6 after structural relaxation, computed with GGA-PBE.

a = 5.7289 Å, b = 6.8246 Å, c = 6.8200 Å
α = 49.85°, β = 64.97°, γ = 90.29°
Fractional positions:
As (0.0000, 0.0000, 0.0000)
Pd (0.7372, 0.2740, 0.0457)
Pd (0.7412, 0.7678, 0.5416)
Pd (0.7529, 0.7317, 0.9691)
Pd (0.2628, 0.7260, 0.9543)
Pd (0.2471, 0.2683, 0.0309)
Pd (0.2588, 0.2322, 0.4584)
H (0.5000, 0.5000, 0.0000)
Y (0.7154, 0.2748, 0.5522)
Y (0.2846, 0.7252, 0.4478)

Output
Calculated volume, Å³ per cell: 169.14
Electronic total energy, hartree per atom: -0.21655
Fermi-level density of states, states/eV/atom: 0.44

=====

[2]
Ac2YMg after structural relaxation, computed with GGA-PBE.

a = 3.8349 Å, b = 3.8349 Å, c = 12.0345 Å
α = 80.83°, β = 80.83°, γ = 60.00°
Fractional positions:
Mg (0.6669, 0.6669, 0.9994)
Ac (0.0815, 0.0815, 0.7556)
Ac (0.2519, 0.2519, 0.2442)
Y (0.4997, 0.4997, 0.5008)

Output
Calculated volume, Å³ per cell: 150.66
Electronic total energy, hartree per atom: -0.14644
Fermi-level density of states, states/eV/atom: 1.50
Energy relative to the lowest polymorph listed for this composition, eV per formula unit: 0.35
Energy of formation from the pure elements, meV per atom: 84

=====

[3]
CaCo2Cl after structural relaxation, computed with GGA-PBE.

a = 3.2668 Å, b = 3.3091 Å, c = 7.8120 Å
α = 77.48°, β = 90.00°, γ = 90.00°
Last column: magnetic moment on the atom in μB.
Fractional positions:
Co (0.5000, 0.2178, 0.1943)  1.75
Co (0.0000, 0.7509, 0.1293)  1.80
Ca (0.0000, 0.5657, 0.4905)  -0.06
Cl (0.5000, 0.9656, 0.6858)  -0.01

Output
Calculated volume, Å³ per cell: 82.44
Electronic total energy, hartree per atom: -0.17563
Fermi-level density of states, states/eV/atom: 0.71
Energy relative to the lowest polymorph listed for this composition, eV per formula unit: 0.00
ΔE_f (raw), eV/atom: -0.26